Entry 1:
The following is a DFT calculation (PBE) of crystalline Sm2TiAl2Pt5 at its relaxed geometry.

a = 3.424 Å, b = 10.347 Å, c = 10.347 Å
α = 90.00°, β = 90.00°, γ = 90.00°
Element x y z (fractional)
Al 0.000 0.627 0.873
Al 0.000 0.127 0.627
Al 0.000 0.373 0.127
Al 0.000 0.873 0.373
Sm 0.000 0.324 0.824
Sm 0.000 0.676 0.176
Sm 0.000 0.824 0.676
Sm 0.000 0.176 0.324
Pt 0.500 0.500 0.000
Pt 0.500 0.548 0.699
Pt 0.500 0.000 0.500
Pt 0.500 0.452 0.301
Pt 0.500 0.048 0.801
Pt 0.500 0.301 0.548
Pt 0.500 0.801 0.952
Pt 0.500 0.952 0.199
Pt 0.500 0.199 0.048
Pt 0.500 0.699 0.452
Ti 0.000 0.500 0.500
Ti 0.000 0.000 0.000

Results
DOS(E_F) ... 0.687 states/eV/atom
Total magnetization ... 0.00 μB per cell
DFT formation energy ... -0.98 eV/atom
E ... -0.238 Ha/atom
Crystal system ... tetragonal

***

Entry 2:
The following is a DFT calculation (PBE) of crystalline ScRe3C at its relaxed geometry.

a = 4.157 Å, b = 4.157 Å, c = 4.157 Å
α = 90.00°, β = 90.00°, γ = 90.00°
Each line ends with the local moment (μB).
Element x y z (fractional)
Re 0.500 0.000 0.000  0.16
Re 0.000 0.500 0.000  0.30
Re 0.000 0.000 0.500  0.35
Sc 0.500 0.500 0.500  0.11
C 0.000 0.000 0.000  -0.01

Results
DOS(E_F) ... 1.053 states/eV/atom
Excess energy over the best structure of this formula in the dataset ... 0.0 meV/atom
Total magnetization ... 1.07 μB per cell
DFT formation energy ... 0.09 eV/atom
E ... -0.385 Ha/atom
Crystal system ... cubic

***

Entry 3:
The following is a DFT calculation (PBE) of crystalline YRu3Br at its relaxed geometry.

a = 4.602 Å, b = 4.602 Å, c = 4.602 Å
α = 90.00°, β = 90.00°, γ = 90.00°
Each line ends with the local moment (μB).
Element x y z (fractional)
Ru 0.000 0.500 0.000  0.44
Ru 0.000 0.000 0.500  0.42
Ru 0.500 0.000 0.000  0.36
Y 0.500 0.500 0.500  -0.05
Br 0.000 0.000 0.000  0.03

Results
DOS(E_F) ... 1.105 states/eV/atom
Excess energy over the best structure of this formula in the dataset ... 0.0 meV/atom
Total magnetization ... 1.16 μB per cell
E ... -0.235 Ha/atom
Energy relative to the elements, uncorrected ... 0.80 eV per atom
Crystal system ... cubic

***

Entry 4:
The following is a DFT calculation (PBE) of crystalline Cs3KSe at its relaxed geometry.

a = 7.476 Å, b = 7.476 Å, c = 7.476 Å
α = 90.00°, β = 90.00°, γ = 90.00°
Element x y z (fractional)
Cs 0.000 0.500 0.000
Cs 0.000 0.000 0.500
Cs 0.500 0.000 0.000
K 0.000 0.000 0.000
Se 0.500 0.500 0.500

Results
DOS(E_F) ... 0.022 states/eV/atom
Excess energy over the best structure of this formula in the dataset ... 730.9 meV/atom
Total magnetization ... 0.00 μB per cell
E ... -0.047 Ha/atom
Energy relative to the elements, uncorrected ... 0.16 eV per atom
Crystal system ... cubic

***

Entry 5:
The following is a DFT calculation (PBE) of crystalline LiAgHg2H at its relaxed geometry.

a = 5.103 Å, b = 5.103 Å, c = 3.232 Å
α = 90.00°, β = 90.00°, γ = 90.00°
Element x y z (fractional)
Ag 0.500 0.500 0.500
H 0.000 0.000 0.000
Hg 0.000 0.500 0.000
Hg 0.500 0.000 0.000
Li 0.000 0.000 0.500

Results
DOS(E_F) ... 0.280 states/eV/atom
Total magnetization ... 0.00 μB per cell
E ... -0.063 Ha/atom
Crystal system ... tetragonal

***

Entry 6:
The following is a DFT calculation (PBE) of crystalline Pm4GePBr2 at its relaxed geometry.

a = 4.197 Å, b = 7.273 Å, c = 7.673 Å
α = 108.43°, β = 90.00°, γ = 90.00°
Element x y z (fractional)
Pm 0.500 0.243 0.208
Pm 0.500 0.757 0.792
Pm 0.000 0.727 0.204
Pm 0.000 0.273 0.796
Ge 0.000 0.000 0.000
Br 0.000 0.500 0.500
Br 0.500 0.000 0.500
P 0.500 0.500 0.000

Results
DOS(E_F) ... 0.408 states/eV/atom
Total magnetization ... 0.00 μB per cell
E ... -0.197 Ha/atom
Energy relative to the elements, uncorrected ... -1.33 eV per atom
Crystal system ... monoclinic

***

- What is the total magnetization in the fourth record?
  0.00 μB per cell